Entry 1:
A relaxed structure of LiTaHg. Source: Alexandria via LeMat-Bulk, functional PBE.

Excess energy over the best structure of this formula in the dataset in meV/atom: 0.0
Total magnetic moment in Bohr magnetons per cell: 0.00
Energy in eV per atom: -4.661
Energy relative to the elements in eV/atom: 0.028
D(E_F) in states/eV/f.u.: 1.3

Cell: 2.983 2.997 12.317 Å, 90.00 92.02 90.00°
Space group P2_1/m (No. 11)
Inequivalent atoms, fractional coordinates:
Li 0.239 0.250 0.417 x2
Ta 0.190 0.250 0.085 x2
Hg 0.279 0.250 0.728 x2

---

Entry 2:
A relaxed structure of LiTaHg2. Source: Alexandria via LeMat-Bulk, functional PBE.

Excess energy over the best structure of this formula in the dataset in meV/atom: 104.5
Total magnetic moment in Bohr magnetons per cell: 0.00
Energy in eV per atom: -3.394
Energy relative to the elements in eV/atom: 0.199
D(E_F) in states/eV/f.u.: 2.5

Cell: 10.983 2.842 5.238 Å, 90.00 106.44 90.00°
Space group Cm (No. 8)
Inequivalent atoms, fractional coordinates:
Li 0.000 0.000 0.000 x2
Ta 0.263 0.500 0.440 x2
Hg 0.005 0.500 0.476 x2
Hg 0.250 0.000 0.933 x2

---

Entry 3:
A relaxed structure of LiTaHg2. Source: Alexandria via LeMat-Bulk, functional PBE.

Excess energy over the best structure of this formula in the dataset in meV/atom: 369.5
Total magnetic moment in Bohr magnetons per cell: 2.64
Energy in eV per atom: -3.129
Energy relative to the elements in eV/atom: 0.464
D(E_F) in states/eV/f.u.: 3.4

Cell: 4.100 4.100 9.204 Å, 90.00 90.00 90.00°
Space group I-4m2 (No. 119)
Inequivalent atoms, fractional coordinates:
Li 0.000 0.000 0.000 x2
Ta 0.000 0.500 0.750 x2
Hg 0.000 0.000 0.500 x2
Hg 0.000 0.500 0.250 x2

---

Entry 4:
A relaxed structure of LiTaHg. Source: Alexandria via LeMat-Bulk, functional PBE.

Excess energy over the best structure of this formula in the dataset in meV/atom: 11.8
Total magnetic moment in Bohr magnetons per cell: 0.00
Energy in eV per atom: -4.649
Energy relative to the elements in eV/atom: 0.040
D(E_F) in states/eV/f.u.: 1.4

Cell: 3.013 3.825 9.508 Å, 90.00 90.00 90.00°
Space group Pmmn (No. 59, origin choice 2)
Inequivalent atoms, fractional coordinates:
Li 0.250 0.250 0.085 x2
Ta 0.250 0.250 0.422 x2
Hg 0.250 0.250 0.773 x2

---

Entry 5:
A relaxed structure of LiTaHg. Source: Alexandria via LeMat-Bulk, functional PBE.

Excess energy over the best structure of this formula in the dataset in meV/atom: 173.4
Total magnetic moment in Bohr magnetons per cell: 0.00
Energy in eV per atom: -4.488
Energy relative to the elements in eV/atom: 0.202
D(E_F) in states/eV/f.u.: 1.9

Cell: 2.962 5.811 7.100 Å, 79.74 77.97 75.34°
Space group P1 (No. 1)
Inequivalent atoms, fractional coordinates:
Li 0.000 0.000 0.000 x1
Li 0.442 0.761 0.356 x1
Ta 0.155 0.283 0.405 x1
Ta 0.442 0.412 0.702 x1
Hg 0.716 0.507 0.057 x1
Hg 0.725 0.888 0.662 x1

---

Entry 6:
A relaxed structure of LiTa2Hg. Source: Alexandria via LeMat-Bulk, functional PBE.

Total magnetic moment in Bohr magnetons per cell: 0.00
Energy in eV per atom: -6.069
Energy relative to the elements in eV/atom: 0.411
D(E_F) in states/eV/f.u.: 3.1

Cell: 3.049 5.021 9.348 Å, 90.00 90.00 90.00°
Space group Imm2 (No. 44)
Inequivalent atoms, fractional coordinates:
Li 0.000 0.000 0.000 x2
Ta 0.000 0.000 0.506 x2
Ta 0.000 0.500 0.760 x2
Hg 0.000 0.500 0.278 x2

---

Entry 7:
A relaxed structure of LiTaHg2. Source: Alexandria via LeMat-Bulk, functional PBE.

Excess energy over the best structure of this formula in the dataset in meV/atom: 230.4
Total magnetic moment in Bohr magnetons per cell: 0.00
Energy in eV per atom: -3.268
Energy relative to the elements in eV/atom: 0.325
D(E_F) in states/eV/f.u.: 2.1

Cell: 9.024 2.871 6.140 Å, 90.00 96.87 90.00°
Space group C2/m (No. 12)
Inequivalent atoms, fractional coordinates:
Li 0.000 0.000 0.000 x2
Ta 0.000 0.500 0.500 x2
Hg 0.249 0.500 0.240 x4

---

Entry 8:
A relaxed structure of LiTa2Hg. Source: Alexandria via LeMat-Bulk, functional PBE.

Total magnetic moment in Bohr magnetons per cell: 0.00
Energy in eV per atom: -6.123
Energy relative to the elements in eV/atom: 0.357
D(E_F) in states/eV/f.u.: 2.9

Cell: 9.507 2.863 5.461 Å, 90.00 97.66 90.00°
Space group Cm (No. 8)
Inequivalent atoms, fractional coordinates:
Li 0.000 0.000 0.000 x2
Ta 0.235 0.000 0.712 x2
Ta 0.499 0.000 0.514 x2
Hg 0.250 0.500 0.204 x2

---

Entry 9:
A relaxed structure of LiTaHg. Source: Alexandria via LeMat-Bulk, functional PBE.

Excess energy over the best structure of this formula in the dataset in meV/atom: 212.2
Total magnetic moment in Bohr magnetons per cell: 0.00
Energy in eV per atom: -4.449
Energy relative to the elements in eV/atom: 0.241
D(E_F) in states/eV/f.u.: 1.4

Cell: 4.403 3.810 12.965 Å, 90.00 90.00 90.00°
Space group Amm2 (No. 38)
Inequivalent atoms, fractional coordinates:
Li 0.000 0.000 0.000 x2
Li 0.500 0.000 0.171 x2
Ta 0.000 0.000 0.326 x2
Ta 0.000 0.000 0.677 x2
Hg 0.500 0.000 0.517 x2
Hg 0.500 0.000 0.828 x2

---

Entry 10:
A relaxed structure of LiTaHg. Source: Alexandria via LeMat-Bulk, functional PBE.

Excess energy over the best structure of this formula in the dataset in meV/atom: 210.1
Total magnetic moment in Bohr magnetons per cell: 0.00
Energy in eV per atom: -4.451
Energy relative to the elements in eV/atom: 0.238
D(E_F) in states/eV/f.u.: 2.4

Cell: 6.244 3.352 10.137 Å, 90.00 90.00 90.00°
Space group Pnma (No. 62)
Inequivalent atoms, fractional coordinates:
Li 0.139 0.250 0.243 x4
Ta 0.117 0.250 0.930 x4
Hg 0.108 0.250 0.615 x4

---

Entry 11:
A relaxed structure of LiTaHg. Source: Alexandria via LeMat-Bulk, functional PBE.

Excess energy over the best structure of this formula in the dataset in meV/atom: 7.5
Total magnetic moment in Bohr magnetons per cell: 0.00
Energy in eV per atom: -4.654
Energy relative to the elements in eV/atom: 0.036
D(E_F) in states/eV/f.u.: 2.1

Cell: 3.675 4.552 13.546 Å, 90.00 90.00 90.00°
Space group Cmme (No. 67)
Inequivalent atoms, fractional coordinates:
Li 0.000 0.250 0.090 x4
Ta 0.000 0.250 0.421 x4
Hg 0.000 0.250 0.759 x4

---

Entry 12:
A relaxed structure of LiTaHg. Source: Alexandria via LeMat-Bulk, functional PBE.

Excess energy over the best structure of this formula in the dataset in meV/atom: 461.8
Total magnetic moment in Bohr magnetons per cell: 0.00
Energy in eV per atom: -4.199
Energy relative to the elements in eV/atom: 0.490
D(E_F) in states/eV/f.u.: 0.8

Cell: 4.7408 4.7408 5.7006 Å, 90.00 90.00 120.00°
Space group P6_3/mmc (No. 194)
Inequivalent atoms, fractional coordinates:
Li 0.0000 0.0000 0.0000 x2
Ta 0.3333 0.6667 0.2500 x2
Hg 0.3333 0.6667 0.7500 x2

---

Entry 13:
A relaxed structure of LiTaHg2. Source: Alexandria via LeMat-Bulk, functional PBE.

Excess energy over the best structure of this formula in the dataset in meV/atom: 0.0
Total magnetic moment in Bohr magnetons per cell: 0.00
Energy in eV per atom: -3.498
Energy relative to the elements in eV/atom: 0.094
D(E_F) in states/eV/f.u.: 1.9

Cell: 5.097 5.097 2.944 Å, 90.00 90.00 90.00°
Space group P4/mmm (No. 123)
Inequivalent atoms, fractional coordinates:
Li 0.000 0.000 0.000 x1
Ta 0.500 0.500 0.000 x1
Hg 0.000 0.500 0.500 x2

---

Entry 14:
A relaxed structure of LiTaHg2. Source: Alexandria via LeMat-Bulk, functional PBE.

Excess energy over the best structure of this formula in the dataset in meV/atom: 202.7
Total magnetic moment in Bohr magnetons per cell: 0.00
Energy in eV per atom: -3.296
Energy relative to the elements in eV/atom: 0.297
D(E_F) in states/eV/f.u.: 2.0

Cell: 6.712 6.712 6.712 Å, 90.00 90.00 90.00°
Space group Fm-3m (No. 225)
Inequivalent atoms, fractional coordinates:
Li 0.000 0.000 0.000 x4
Ta 0.000 0.000 0.500 x4
Hg 0.250 0.250 0.250 x8

---

Entry 15:
A relaxed structure of LiTaHg. Source: Alexandria via LeMat-Bulk, functional PBE.

Excess energy over the best structure of this formula in the dataset in meV/atom: 86.1
Total magnetic moment in Bohr magnetons per cell: 0.00
Energy in eV per atom: -4.575
Energy relative to the elements in eV/atom: 0.114
D(E_F) in states/eV/f.u.: 1.3

Cell: 10.221 2.942 7.557 Å, 90.00 105.54 90.00°
Space group C2/m (No. 12)
Inequivalent atoms, fractional coordinates:
Li 0.179 0.000 0.130 x4
Ta 0.143 0.000 0.528 x4
Hg 0.040 0.500 0.814 x4